The following is a DFT calculation (PBE) of a relaxed ZrScRe2 crystal.

Lattice parameters (Å, degrees): 4.519 2.913 5.455 78.14 90.00 90.00
Fractional positions:
Re (0.000, 0.013, 0.018)
Re (0.500, 0.234, 0.236)
Sc (0.000, 0.488, 0.491)
Zr (0.500, 0.765, 0.754)

The calculation puts the calculated volume at 17.6 A^3/atom. The calculation puts the calculated total energy at -39.8 eV/cell. The space group is No. 6.